# 1
An optimized crystal structure of LuMgNiSn, computed with PBE.

It has space group F-43m (No. 216), with a = 6.7106 Å, b = 6.7106 Å, c = 6.7106 Å, α = 90.00°, β = 90.00° and γ = 90.00°. The inequivalent atoms are Lu at (0.0000, 0.0000, 0.0000), Mg at (0.2500, 0.2500, 0.2500), Ni at (0.2500, 0.2500, 0.7500) and Sn at (0.0000, 0.0000, 0.5000).

Its energy above the most stable polymorph in this dataset is 0.0 meV/atom. The value obtained for the theoretical density is 8.28 g cm⁻³. The calculation puts the total energy at -4.16 eV/atom. The total moment comes out at 0.01 μB per formula unit.

---

# 2
An optimized crystal structure of RbGePd, computed with PBE.

It has space group F-43m (No. 216), with a = 6.9700 Å, b = 6.9700 Å, c = 6.9700 Å, α = 90.00°, β = 90.00° and γ = 90.00°. The inequivalent atoms are Rb at (0.0000, 0.0000, 0.0000), Ge at (0.0000, 0.0000, 0.5000) and Pd at (0.2500, 0.2500, 0.7500).

Its energy above the most stable polymorph in this dataset is 0.0 meV/atom. The value obtained for the theoretical density is 5.19 g cm⁻³. The calculation puts the total energy at -3.18 eV/atom.

---

# 3
An optimized crystal structure of Y2Ga4IrAu, computed with PBE.

It has space group Amm2 (No. 38), with a = 6.7761 Å, b = 4.3707 Å, c = 10.2573 Å, α = 90.00°, β = 90.00° and γ = 90.00°. The inequivalent atoms are Y at (0.0000, 0.0000, 0.0000), Y at (0.5000, 0.0000, 0.1656), Ga at (0.2033, 0.0000, 0.7148), Ga at (0.3080, 0.0000, 0.4537), Ir at (0.5000, 0.0000, 0.8786) and Au at (0.0000, 0.0000, 0.2897).

The value obtained for the theoretical density is 9.25 g cm⁻³. The calculation puts the total energy at -5.37 eV/atom. The total moment comes out at 0.01 μB per formula unit.

---

# 4
An optimized crystal structure of HoPaSn, computed with PBE.

It has space group F-43m (No. 216), with a = 7.2276 Å, b = 7.2276 Å, c = 7.2276 Å, α = 90.00°, β = 90.00° and γ = 90.00°. The inequivalent atoms are Ho at (0.0000, 0.0000, 0.0000), Pa at (0.0000, 0.0000, 0.5000) and Sn at (0.2500, 0.2500, 0.2500).

Its energy above the most stable polymorph in this dataset is 0.0 meV/atom. The value obtained for the theoretical density is 9.05 g cm⁻³. The calculation puts the total energy at -5.82 eV/atom. The total moment comes out at 1.79 μB per formula unit.

---

# 5
An optimized crystal structure of GdHo2Sb2, computed with PBE.

It has space group P6_3/mmc (No. 194), with a = 4.5841 Å, b = 4.5841 Å, c = 16.8576 Å, α = 90.00°, β = 90.00° and γ = 120.00°. The inequivalent atoms are Gd at (0.0000, 0.0000, 0.2500), Ho at (0.3333, 0.6667, 0.0659) and Sb at (0.3333, 0.6667, 0.6449).

The value obtained for the theoretical density is 7.91 g cm⁻³. The calculation puts the total energy at -5.15 eV/atom. The total moment comes out at 0.00 μB per formula unit.

---

# 6
An optimized crystal structure of Er6LuNi2Te2, computed with PBE.

It has space group Imm2 (No. 44), with a = 3.8069 Å, b = 15.4173 Å, c = 9.5110 Å, α = 90.00°, β = 90.00° and γ = 90.00°. The inequivalent atoms are Er at (0.0000, 0.1339, 0.0000), Er at (0.0000, 0.3154, 0.7962), Er at (0.0000, 0.3546, 0.1465), Lu at (0.0000, 0.0000, 0.4188), Ni at (0.0000, 0.2361, 0.4886), Te at (0.0000, 0.0000, 0.7565) and Te at (0.0000, 0.5000, 0.6530).

The value obtained for the theoretical density is 9.23 g cm⁻³. The calculation puts the total energy at -5.16 eV/atom. The total moment comes out at 0.01 μB per formula unit.

---

# 7
An optimized crystal structure of TmBiNO, computed with PBE.

It has space group Pmc2_1 (No. 26), with a = 3.7554 Å, b = 6.5663 Å, c = 6.3537 Å, α = 90.00°, β = 90.00° and γ = 90.00°. The inequivalent atoms are Tm at (0.0000, 0.1870, 0.0000), Bi at (0.5000, 0.3256, 0.5673), N at (0.5000, 0.3625, 0.9317) and O at (0.0000, 0.0596, 0.2978).

Its energy above the most stable polymorph in this dataset is 54.6 meV/atom. The value obtained for the theoretical density is 8.65 g cm⁻³. The calculation puts the total energy at -6.74 eV/atom. The total moment comes out at 0.00 μB per formula unit.

---

# 8
An optimized crystal structure of Fe3Se, computed with PBE.

It has space group P6_3/mmc (No. 194), with a = 5.3205 Å, b = 5.3205 Å, c = 4.3154 Å, α = 90.00°, β = 90.00° and γ = 120.00°. The inequivalent atoms are Fe at (0.1555, 0.3111, 0.2500) and Se at (0.3333, 0.6667, 0.7500).

Its energy above the most stable polymorph in this dataset is 0.0 meV/atom. The value obtained for the theoretical density is 7.74 g cm⁻³. The calculation puts the total energy at -6.95 eV/atom. The total moment comes out at 8.28 μB per formula unit.

---

# 9
An optimized crystal structure of RbErO3, computed with PBE.

It has space group Pnma (No. 62), with a = 6.2674 Å, b = 8.8489 Å, c = 6.2427 Å, α = 90.00°, β = 90.00° and γ = 90.00°. The inequivalent atoms are Rb at (0.0005, 0.2500, 0.0006), Er at (0.0000, 0.0000, 0.5000), O at (0.0023, 0.2500, 0.5008) and O at (0.2474, 0.5011, 0.7526).

The value obtained for the theoretical density is 5.77 g cm⁻³. The calculation puts the total energy at -5.98 eV/atom. The total moment comes out at 2.00 μB per formula unit.

---

# 10
An optimized crystal structure of Pr2As2O5, computed with PBE.

It has space group P4/mmm (No. 123), with a = 3.7703 Å, b = 3.7703 Å, c = 9.8647 Å, α = 90.00°, β = 90.00° and γ = 90.00°. The inequivalent atoms are Pr at (0.0000, 0.0000, 0.2454), As at (0.5000, 0.5000, 0.0000), As at (0.5000, 0.5000, 0.5000), O at (0.0000, 0.0000, 0.0000) and O at (0.0000, 0.5000, 0.3739).

Its energy above the most stable polymorph in this dataset is 153.1 meV/atom. The value obtained for the theoretical density is 6.06 g cm⁻³. The calculation puts the total energy at -6.46 eV/atom. The total moment comes out at 0.00 μB per formula unit.

---

# 11
An optimized crystal structure of AgPdSO, computed with PBE.

It has space group P4/nmm (No. 129, origin choice 2), with a = 3.8826 Å, b = 3.8826 Å, c = 9.0972 Å, α = 90.00°, β = 90.00° and γ = 90.00°. The inequivalent atoms are Ag at (0.2500, 0.2500, 0.1355), Pd at (0.2500, 0.2500, 0.5839), S at (0.2500, 0.2500, 0.8430) and O at (0.2500, 0.7500, 0.5000).

Its energy above the most stable polymorph in this dataset is 230.2 meV/atom. The value obtained for the theoretical density is 6.35 g cm⁻³. The calculation puts the total energy at -4.22 eV/atom.

---

# 12
An optimized crystal structure of TaNbAsO, computed with PBE.

It has space group P4/nmm (No. 129, origin choice 2), with a = 3.7758 Å, b = 3.7758 Å, c = 8.2634 Å, α = 90.00°, β = 90.00° and γ = 90.00°. The inequivalent atoms are Ta at (0.2500, 0.7500, 0.0000), Nb at (0.2500, 0.2500, 0.3489), As at (0.2500, 0.2500, 0.7655) and O at (0.2500, 0.7500, 0.5000).

Its energy above the most stable polymorph in this dataset is 230.5 meV/atom. The value obtained for the theoretical density is 10.28 g cm⁻³. The calculation puts the total energy at -8.65 eV/atom. The total moment comes out at 0.01 μB per formula unit.

---

# 13
An optimized crystal structure of Tm3Sb2P, computed with PBE.

It has space group P-3m1 (No. 164), with a = 4.1691 Å, b = 4.1691 Å, c = 10.4564 Å, α = 90.00°, β = 90.00° and γ = 120.00°. The inequivalent atoms are Tm at (0.0000, 0.0000, 0.0000), Tm at (0.3333, 0.6667, 0.3553), Sb at (0.3333, 0.6667, 0.8241) and P at (0.0000, 0.0000, 0.5000).

The value obtained for the theoretical density is 8.24 g cm⁻³. The calculation puts the total energy at -5.72 eV/atom. The total moment comes out at 0.00 μB per formula unit.

---

# 14
An optimized crystal structure of DyErAl4Fe2, computed with PBE.

It has space group Amm2 (No. 38), with a = 7.0757 Å, b = 3.9870 Å, c = 10.0212 Å, α = 90.00°, β = 90.00° and γ = 90.00°. The inequivalent atoms are Dy at (0.0000, 0.0000, 0.0000), Er at (0.5000, 0.0000, 0.8784), Al at (0.1941, 0.0000, 0.2821), Al at (0.3079, 0.0000, 0.5965), Fe at (0.0000, 0.0000, 0.7243) and Fe at (0.5000, 0.0000, 0.1547).

The value obtained for the theoretical density is 6.45 g cm⁻³. The calculation puts the total energy at -5.46 eV/atom. The total moment comes out at 1.74 μB per formula unit.

---

# 15
An optimized crystal structure of LaH3Pt, computed with PBE.

It has space group Pm-3m (No. 221), with a = 3.8384 Å, b = 3.8384 Å, c = 3.8384 Å, α = 90.00°, β = 90.00° and γ = 90.00°. The inequivalent atoms are La at (0.0000, 0.0000, 0.0000), H at (0.0000, 0.5000, 0.5000) and Pt at (0.5000, 0.5000, 0.5000).

The value obtained for the theoretical density is 9.90 g cm⁻³. The calculation puts the total energy at -4.76 eV/atom. The total moment comes out at 0.00 μB per formula unit.

---

# 16
An optimized crystal structure of Zn5Mo, computed with PBE.

It has space group P-62m (No. 189), with a = 4.9316 Å, b = 4.9316 Å, c = 4.1322 Å, α = 90.00°, β = 90.00° and γ = 120.00°. The inequivalent atoms are Zn at (0.0000, 0.6421, 0.0000), Zn at (0.3333, 0.6667, 0.5000) and Mo at (0.0000, 0.0000, 0.5000).

The formation energy from the elements comes out at 106 kJ/mol of formula units. The value obtained for the theoretical density is 8.07 g cm⁻³. The calculation puts the total energy at -2.68 eV/atom. The total moment comes out at 0.00 μB per formula unit.

---

# 17
An optimized crystal structure of Zr4PAuC2, computed with PBE.

It has space group P-6m2 (No. 187), with a = 3.4107 Å, b = 3.4107 Å, c = 13.1495 Å, α = 90.00°, β = 90.00° and γ = 120.00°. The inequivalent atoms are Zr at (0.0000, 0.0000, 0.1366), Zr at (0.6667, 0.3333, 0.3322), P at (0.6667, 0.3333, 0.0000), Au at (0.0000, 0.0000, 0.5000) and C at (0.3333, 0.6667, 0.2363).

The value obtained for the theoretical density is 7.73 g cm⁻³. The calculation puts the total energy at -8.53 eV/atom. The total moment comes out at 0.00 μB per formula unit.

---

# 18
An optimized crystal structure of Er2Ni3, computed with PBE.

It has space group R-3c (No. 167, hexagonal axes), with a = 6.3824 Å, b = 6.3824 Å, c = 16.4239 Å, α = 90.00°, β = 90.00° and γ = 120.00°. The inequivalent atoms are Er at (0.0000, 0.0000, 0.1050) and Ni at (0.0000, 0.2143, 0.2500).

The formation energy from the elements comes out at 25 kJ/mol of formula units. The value obtained for the theoretical density is 8.78 g cm⁻³. The calculation puts the total energy at -5.11 eV/atom. The total moment comes out at 0.00 μB per formula unit.

---

# 19
An optimized crystal structure of Re2TeSe2S, computed with PBE.

It has space group P-1 (No. 2), with a = 6.7295 Å, b = 6.9290 Å, c = 7.0420 Å, α = 91.74°, β = 104.33° and γ = 118.86°. The inequivalent atoms are Re at (0.0130, 0.2003, 0.0035), Re at (0.4288, 0.1816, 0.0096), Te at (0.2579, 0.6363, 0.2138), Se at (0.2289, 0.8465, 0.7544), Se at (0.2786, 0.3945, 0.7920) and S at (0.2352, 0.1079, 0.2610).

Its energy above the most stable polymorph in this dataset is 0.9 meV/atom. The value obtained for the theoretical density is 8.36 g cm⁻³. The calculation puts the total energy at -6.88 eV/atom. The total moment comes out at 0.01 μB per formula unit.

---

# 20
An optimized crystal structure of BeZnFePb, computed with PBE.

It has space group F-43m (No. 216), with a = 6.1703 Å, b = 6.1703 Å, c = 6.1703 Å, α = 90.00°, β = 90.00° and γ = 90.00°. The inequivalent atoms are Be at (0.0000, 0.0000, 0.0000), Zn at (0.2500, 0.2500, 0.7500), Fe at (0.0000, 0.0000, 0.5000) and Pb at (0.2500, 0.2500, 0.2500).

Its energy above the most stable polymorph in this dataset is 0.0 meV/atom. The value obtained for the theoretical density is 9.54 g cm⁻³. The calculation puts the total energy at -3.58 eV/atom. The total moment comes out at 1.43 μB per formula unit.

---

# 21
An optimized crystal structure of Nd2Ga2PdPt3, computed with PBE.

It has space group P3m1 (No. 156), with a = 4.4341 Å, b = 4.4341 Å, c = 9.4699 Å, α = 90.00°, β = 90.00° and γ = 120.00°. The inequivalent atoms are Nd at (0.0000, 0.0000, 0.0000), Nd at (0.3333, 0.6667, 0.4967), Ga at (0.6667, 0.3333, 0.2498), Ga at (0.6667, 0.3333, 0.7558), Pd at (0.0000, 0.0000, 0.6713), Pt at (0.0000, 0.0000, 0.3299), Pt at (0.3333, 0.6667, 0.1729) and Pt at (0.3333, 0.6667, 0.8211).

The value obtained for the theoretical density is 11.53 g cm⁻³. The calculation puts the total energy at -5.83 eV/atom. The total moment comes out at 0.00 μB per formula unit.

---

# 22
An optimized crystal structure of ErTmFeGe2, computed with PBE.

It has space group C2/m (No. 12), with a = 10.4977 Å, b = 4.1775 Å, c = 10.0315 Å, α = 90.00°, β = 118.76° and γ = 90.00°. The inequivalent atoms are Er at (0.0008, 0.0000, 0.3301), Tm at (0.1855, 0.0000, 0.1093), Fe at (0.2276, 0.5000, 0.3724), Ge at (0.0086, 0.5000, 0.8717) and Ge at (0.1528, 0.5000, 0.5672).

The value obtained for the theoretical density is 9.25 g cm⁻³. The calculation puts the total energy at -5.99 eV/atom. The total moment comes out at 0.01 μB per formula unit.

---

# 23
An optimized crystal structure of TbHBrCl, computed with PBE.

It has space group P-6m2 (No. 187), with a = 3.8064 Å, b = 3.8064 Å, c = 14.5667 Å, α = 90.00°, β = 90.00° and γ = 120.00°. The inequivalent atoms are Tb at (0.0000, 0.0000, 0.0000), Tb at (0.0000, 0.0000, 0.5000), H at (0.3333, 0.6667, 0.0000), H at (0.6667, 0.3333, 0.5000), Br at (0.6667, 0.3333, 0.1324) and Cl at (0.3333, 0.6667, 0.3804).

The value obtained for the theoretical density is 5.00 g cm⁻³. The calculation puts the total energy at -4.53 eV/atom. The total moment comes out at 0.00 μB per formula unit.

---

# 24
An optimized crystal structure of TlFeAuS3, computed with PBE.

It has space group Cmcm (No. 63), with a = 3.5095 Å, b = 14.5060 Å, c = 9.4244 Å, α = 90.00°, β = 90.00° and γ = 90.00°. The inequivalent atoms are Tl at (0.0000, 0.1881, 0.2500), Fe at (0.0000, 0.5000, 0.0000), Au at (0.0000, 0.1511, 0.7500), S at (0.0000, 0.1006, 0.5162) and S at (0.0000, 0.4626, 0.7500).

The value obtained for the theoretical density is 7.66 g cm⁻³. The calculation puts the total energy at -4.48 eV/atom. The total moment comes out at 1.85 μB per formula unit.